RbCd2CuAu | GGA-PBE | relaxed

Values from the calculation:
VASP energy: -10.15 eV/f.u.
magnetization: 0.0 μB/cell
formation energy: 4 meV/atom

Cell lengths 5.1587, 5.1587, 5.2062 Å; angles 90.00, 90.00, 90.00 degrees
Closest atoms and distances in Å follow each position.
Space group P4/mmm (No. 123)
Inequivalent atoms, fractional coordinates:
Rb 0.0000 0.0000 0.0000 (multiplicity 1)  4 Au 3.65, 8 Cd 3.66
Cd 0.0000 0.5000 0.5000 (multiplicity 2)  2 Cu 2.58
Cu 0.5000 0.5000 0.5000 (multiplicity 1)  4 Cd 2.58, 2 Au 2.60
Au 0.5000 0.5000 0.0000 (multiplicity 1)  2 Cu 2.60